# 1
Crystalline PrDyPt at its relaxed geometry, computed with PBE.

```
PrDyPt
1.0
4.3518 0.0000 0.0000
0.0000 4.6814 0.0000
0.0000 -2.3407 4.0542
Dy Pr Pt
1 1 1
Direct
0.7679 0.6667 0.3333
0.2856 0.3333 0.6667
0.9465 0.0000 0.0000
```

Computed properties:
Total magnetic moment (μB/f.u.): 0.00
Raw total energy (eV/atom): -5.79
Energy above the most stable polymorph in this dataset (eV/atom): 0.1849

# 2
Crystalline Pr2Dy2Pt3 at its relaxed geometry, computed with PBE.

```
Pr2Dy2Pt3
1.0
7.2776 0.0000 -2.5730
-3.6388 6.3026 -2.5730
0.0000 0.0000 7.7191
Pr Pt Dy
4 6 4
Direct
0.6265 0.1265 0.1265
0.5000 0.3735 0.5000
0.0000 0.0000 0.3735
0.8735 0.5000 0.0000
0.2500 0.8630 0.1130
0.3630 0.1130 0.7500
0.1370 0.3870 0.2500
0.7500 0.6370 0.3870
0.8870 0.2500 0.6370
0.6130 0.7500 0.8630
0.1219 0.6219 0.6219
0.0000 0.0000 0.8781
0.5000 0.8781 0.5000
0.3781 0.5000 0.0000
```

Computed properties:
Total magnetic moment (μB/f.u.): 0.00
Raw total energy (eV/atom): -6.28

# 3
Crystalline PrDyPt4 at its relaxed geometry, computed with PBE.

```
PrDyPt4
1.0
5.4876 0.0000 0.0000
2.7438 4.7524 0.0000
2.7438 1.5841 4.4806
Pt Dy Pr
4 1 1
Direct
0.1263 0.6246 0.6246
0.6246 0.1263 0.6246
0.6246 0.6246 0.6246
0.6246 0.6246 0.1263
0.2500 0.2500 0.2500
0.0000 0.0000 0.0000
```

Computed properties:
Total magnetic moment (μB/f.u.): 0.00
Raw total energy (eV/atom): -6.67

# 4
Crystalline Pr3DyPt2 at its relaxed geometry, computed with PBE.

```
Pr3DyPt2
1.0
-2.3530 2.3940 7.5057
2.3530 -2.3940 7.5057
2.3530 2.3940 -7.5057
Dy Pt Pr
1 2 3
Direct
0.0000 0.0000 0.0000
0.8749 0.3749 0.5000
0.1251 0.6251 0.5000
0.5000 0.5000 0.0000
0.6871 0.1871 0.5000
0.3129 0.8129 0.5000
```

Computed properties:
Total magnetic moment (μB/f.u.): 0.00
Raw total energy (eV/atom): -5.89